(1)
! MgMn2B8O14, relaxed, DFT GGA+U; values from VASP
&SYSTEM
  ibrav = 0, nat = 25, ntyp = 4
/
ATOMIC_SPECIES
O 16.00 O.upf
Mn 54.94 Mn.upf
B 10.81 B.upf
Mg 24.30 Mg.upf
CELL_PARAMETERS angstrom
-2.385 3.658 -4.960
-2.702 1.135 5.923
3.628 3.658 0.954
ATOMIC_POSITIONS angstrom
O -0.785 5.105 -2.204
Mn -2.373 5.775 1.270
O 1.142 2.462 0.604
O -4.380 4.127 0.829
Mn -1.236 1.165 0.234
O -2.525 4.390 -0.694
O -2.286 2.971 -2.700
O -0.625 2.958 -0.927
O -0.636 5.665 2.933
O -0.545 6.386 -0.173
O 0.887 3.871 2.518
B -3.951 3.395 2.005
B 0.146 4.618 3.553
B 0.283 5.707 -1.146
B 0.809 3.133 -0.702
B -1.727 2.730 3.061
O -2.615 3.669 2.413
Mg -0.626 4.129 0.939
O 0.975 4.572 -0.507
O -2.470 1.510 3.601
O -0.970 3.626 4.177
B 0.728 2.495 2.052
B -3.877 3.981 -0.523
B -1.590 3.819 -1.639
O -0.713 2.257 2.098
! **Energy above the most stable polymorph in this dataset**: 140 meV per atom
! **Space-group type**: Amm2, No. 38

---

(2)
! MgMn2B8O14, relaxed, DFT GGA+U; values from VASP
&SYSTEM
  ibrav = 0, nat = 25, ntyp = 4
/
ATOMIC_SPECIES
O 16.00 O.upf
B 10.81 B.upf
Mn 54.94 Mn.upf
Mg 24.30 Mg.upf
CELL_PARAMETERS angstrom
5.145 5.239 0.396
-5.145 5.239 0.396
0.000 0.587 5.011
ATOMIC_POSITIONS angstrom
O -3.416 5.734 4.106
O 1.555 4.356 3.125
B -2.712 5.239 0.396
O -1.784 7.035 5.309
Mn -0.042 7.613 3.938
O -0.043 7.729 1.227
Mn -0.042 3.451 1.866
O 3.331 5.734 4.106
B -1.232 4.085 4.388
B -2.583 5.532 2.902
B 2.497 5.532 2.902
O 3.331 5.331 1.697
O -1.641 6.709 2.678
B 2.626 5.239 0.396
O -3.416 5.331 1.697
O -1.784 4.030 0.494
O 1.698 4.030 0.494
O 1.555 6.709 2.678
O -1.641 4.356 3.125
O -0.043 3.335 4.576
B -1.232 6.980 1.415
Mg 5.102 5.532 2.902
O 1.698 7.035 5.309
B 1.146 4.085 4.388
B 1.146 6.980 1.415
! **Energy above the most stable polymorph in this dataset**: 26 meV per atom
! **Space-group type**: C2/m, No. 12

---

(3)
! Mg3Mn5B4O16, relaxed, DFT GGA+U; values from VASP
&SYSTEM
  ibrav = 0, nat = 28, ntyp = 4
/
ATOMIC_SPECIES
O 16.00 O.upf
B 10.81 B.upf
Mg 24.30 Mg.upf
Mn 54.94 Mn.upf
CELL_PARAMETERS angstrom
-2.908 0.553 1.326
-4.062 -4.795 -6.985
1.402 -8.103 4.761
ATOMIC_POSITIONS angstrom
O -2.427 -6.974 -1.525
O -4.847 -5.285 -2.911
B -3.507 -9.366 0.521
O -2.587 -4.140 -1.927
B -2.065 -2.938 -1.420
O -5.723 -6.557 -4.784
O -2.995 -8.182 1.068
Mg -2.348 -3.694 1.599
O -2.215 -1.773 -2.095
O -4.199 -9.357 -0.699
B -0.395 -5.847 2.588
Mn -3.390 -3.976 -3.968
O -3.145 -5.377 0.653
Mn -0.823 -1.140 0.437
B -5.178 -6.529 -3.494
O -4.225 -4.232 -5.871
O -4.979 -7.664 -2.786
O -1.364 -2.977 -0.203
Mn -4.768 -11.190 -1.387
O -1.319 -8.105 4.930
Mn -1.619 -6.962 0.240
Mn -3.947 -5.389 -1.103
O -0.598 -4.721 1.870
O -0.725 -7.106 2.048
Mg -3.211 -8.646 -2.497
O -3.336 -10.523 1.206
O 0.165 -5.785 3.878
Mg -2.178 -8.389 3.052
! **E**: -7.4827 eV/atom
! **Space-group type**: P1, No. 1